Record 1
Entry from Alexandria: Tl3VO4 after structural relaxation (GGA-PBEsol).

a = 5.850 Å, b = 5.945 Å, c = 5.945 Å
α = 64.96°, β = 60.53°, γ = 60.53°
Sites, in units of the cell vectors:
Tl: 0.000 0.045 0.955
Tl: 0.234 0.296 0.236
Tl: 0.766 0.764 0.704
O: 0.674 0.486 0.167
O: 0.253 0.359 0.641
O: 0.747 0.359 0.641
O: 0.326 0.833 0.514
V: 0.500 0.509 0.491

Computed properties:
Symmetry: No. 44
Formation energy (no corrections): -1.4950 eV per atom
Uncorrected energy: -50.48 eV for the cell shown
Total magnetic moment: 0.000 μB per cell

Record 2
Entry from Alexandria: BeRh3Br after structural relaxation (GGA-PBEsol).

a = 4.472 Å, b = 4.472 Å, c = 4.472 Å
α = 90.00°, β = 90.00°, γ = 90.00°
Sites, in units of the cell vectors:
Br: 0.000 0.000 0.000
Be: 0.500 0.500 0.500
Rh: 0.000 0.500 0.000
Rh: 0.500 0.000 0.000
Rh: 0.000 0.000 0.500

Computed properties:
Symmetry: No. 221
Formation energy (no corrections): 1.2924 eV per atom
Uncorrected energy: -23.82 eV for the cell shown
Total magnetic moment: 0.002 μB per cell

Record 3
Entry from Alexandria: BaTl2Pb2 after structural relaxation (GGA-PBEsol).

a = 5.010 Å, b = 5.010 Å, c = 7.656 Å
α = 109.10°, β = 109.10°, γ = 90.00°
Sites, in units of the cell vectors:
Ba: 0.000 0.000 0.000
Pb: 0.388 0.388 0.775
Pb: 0.612 0.612 0.225
Tl: 0.750 0.250 0.500
Tl: 0.250 0.750 0.500

Computed properties:
Symmetry: No. 139
Energy relative to the elements: -0.227 eV per atom
Uncorrected energy: -16.54 eV for the cell shown
Total magnetic moment: 0.000 μB per cell

Record 4
Entry from Alexandria: CdRe2As after structural relaxation (GGA-PBEsol).

a = 2.905 Å, b = 2.905 Å, c = 8.136 Å
α = 90.00°, β = 90.00°, γ = 90.00°
Sites, in units of the cell vectors:
Re: 0.000 0.000 0.036
Re: 0.500 0.500 0.238
As: 0.000 0.000 0.445
Cd: 0.500 0.500 0.781

Computed properties:
Symmetry: No. 99
Energy relative to the elements: 0.192 eV per atom
Uncorrected energy: -32.20 eV for the cell shown
Total magnetic moment: 0.000 μB per cell
Polymorph energy (0 for the lowest one): 0 meV/atom

no.,DOS(E_F) (states/eV per atom)
1,0.0000
2,1.0184
3,0.4914
4,0.6676